Compound: AlPtPb2
Source: Alexandria
Functional: PBE
Structure: optimized geometry

The formation energy comes out at 146 meV per atom. The size of the total moment is 0.0 μB per formula unit. The calculation puts the energy at -16.6 eV for the cell shown.

a b c (Å): 4.189 4.671 4.671
angles (deg): 90.00 90.00 90.00
Positions (direct):
1 Pt 0.500 0.500 0.000
2 Al 0.500 0.000 0.500
3 Pb 0.000 0.500 0.500
4 Pb 0.000 0.000 0.000

Compound: Li5FeS4
Source: Alexandria
Functional: PBE
Structure: optimized geometry

The size of the total moment is 5.0 μB per formula unit. As for the uncorrected formation energy: -1029 kJ/mol of formula units. The calculation puts the energy at -90.4 eV for the cell shown.

a b c (Å): 5.872 7.816 7.938
angles (deg): 90.00 90.00 90.00
Each line ends with the local moment (μB).
Positions (direct):
1 S 0.987 0.000 0.239  0.17
2 S 0.443 0.257 0.500  0.16
3 S 0.013 0.500 0.739  0.17
4 S 0.987 0.000 0.761  0.17
5 S 0.443 0.743 0.500  0.16
6 S 0.557 0.757 0.000  0.16
7 S 0.557 0.243 0.000  0.16
8 S 0.013 0.500 0.261  0.17
9 Li 0.254 0.755 0.213  0.01
10 Li 0.254 0.755 0.787  0.01
11 Li 0.206 0.000 0.500  0.03
12 Li 0.254 0.245 0.787  0.01
13 Li 0.746 0.255 0.287  0.01
14 Li 0.254 0.245 0.213  0.01
15 Li 0.794 0.500 0.000  0.03
16 Li 0.746 0.745 0.713  0.01
17 Li 0.746 0.745 0.287  0.01
18 Li 0.746 0.255 0.713  0.01
19 Fe 0.773 0.000 0.000  3.55
20 Fe 0.227 0.500 0.500  3.55

Compound: LiSmGaPd3
Source: Alexandria
Functional: PBE
Structure: optimized geometry

The formation energy comes out at -576 meV per atom. The size of the total moment is 0.0 μB per formula unit. The calculation puts the energy at -57.4 eV for the cell shown.

a b c (Å): 5.861 5.718 7.002
angles (deg): 114.10 90.00 90.00
Positions (direct):
1 Pd 0.250 0.177 0.353
2 Pd 0.750 0.823 0.647
3 Pd 0.500 0.246 0.000
4 Pd 0.000 0.246 0.000
5 Pd 0.000 0.754 0.000
6 Pd 0.500 0.754 0.000
7 Li 0.250 0.890 0.780
8 Li 0.750 0.110 0.220
9 Ga 0.750 0.624 0.248
10 Ga 0.250 0.376 0.752
11 Sm 0.750 0.328 0.656
12 Sm 0.250 0.672 0.344

Compound: ErLuPtPb
Source: Alexandria
Functional: PBE
Structure: optimized geometry

The formation energy comes out at -743 meV per atom. The size of the total moment is 0.0 μB per formula unit. The calculation puts the energy at -21.8 eV for the cell shown.

a b c (Å): 5.121 5.121 5.121
angles (deg): 60.00 60.00 60.00
Positions (direct):
1 Er 0.000 0.000 0.000
2 Lu 0.500 0.500 0.500
3 Pt 0.750 0.750 0.750
4 Pb 0.250 0.250 0.250

| no. | theoretical density (g cm⁻³) |
| --- | --- |
| 1 | 11.6 |
| 2 | 2.0 |
| 3 | 8.5 |
| 4 | 13.0 |